[1]
# MgBe3Tc, PBEsol geometry, DFT meta-GGA SCAN
data_MgBe3Tc
_symmetry_space_group_name_H-M 'P m -3 m'
_symmetry_Int_Tables_number 221
_symmetry_space_group_name_Hall '-P 4 2 3'
_cell_length_a 4.0479
_cell_length_b 4.0479
_cell_length_c 4.0479
_cell_angle_alpha 90.00
_cell_angle_beta 90.00
_cell_angle_gamma 90.00
loop_
_atom_site_label
_atom_site_fract_x
_atom_site_fract_y
_atom_site_fract_z
Mg1 0.0000 0.0000 0.0000
Be1 0.0000 0.0000 0.5000
Tc1 0.5000 0.5000 0.5000
# ΔE_f (meV/atom): 1641



[2]
# MgBeTc2, PBEsol geometry, DFT meta-GGA SCAN
data_MgBeTc2
_symmetry_space_group_name_H-M 'R -3 m'
_symmetry_Int_Tables_number 166
_symmetry_space_group_name_Hall '-R 3 2"'
_cell_length_a 2.7105
_cell_length_b 2.7105
_cell_length_c 25.5929
_cell_angle_alpha 90.00
_cell_angle_beta 90.00
_cell_angle_gamma 120.00
loop_
_atom_site_label
_atom_site_fract_x
_atom_site_fract_y
_atom_site_fract_z
Mg1 0.0000 0.0000 0.0000
Be1 0.0000 0.0000 0.5000
Tc1 0.0000 0.0000 0.2418
# Offset from the most stable computed form (kJ per mole of atoms): 27.2
# ΔE_f (meV/atom): 219



[3]
# Mg2BeTc, PBEsol geometry, DFT meta-GGA SCAN
data_Mg2BeTc
_symmetry_space_group_name_H-M 'C m m m'
_symmetry_Int_Tables_number 65
_symmetry_space_group_name_Hall '-C 2 2'
_cell_length_a 5.2794
_cell_length_b 8.4448
_cell_length_c 2.6750
_cell_angle_alpha 90.00
_cell_angle_beta 90.00
_cell_angle_gamma 90.00
loop_
_atom_site_label
_atom_site_fract_x
_atom_site_fract_y
_atom_site_fract_z
Mg1 0.2500 0.2500 0.0000
Be1 0.0000 0.0000 0.5000
Tc1 0.0000 0.5000 0.5000
# Offset from the most stable computed form (kJ per mole of atoms): 8.2
# ΔE_f (meV/atom): 289



[4]
# Mg4BeTc, PBEsol geometry, DFT meta-GGA SCAN
data_Mg4BeTc
_symmetry_space_group_name_H-M 'F -4 3 m'
_symmetry_Int_Tables_number 216
_symmetry_space_group_name_Hall 'F -4 2 3'
_cell_length_a 7.5149
_cell_length_b 7.5149
_cell_length_c 7.5149
_cell_angle_alpha 90.00
_cell_angle_beta 90.00
_cell_angle_gamma 90.00
loop_
_atom_site_label
_atom_site_fract_x
_atom_site_fract_y
_atom_site_fract_z
Mg1 0.1243 0.1243 0.3757
Be1 0.0000 0.0000 0.0000
Tc1 0.2500 0.2500 0.7500
# ΔE_f (meV/atom): 747



[5]
# Mg2BeTc2, PBEsol geometry, DFT meta-GGA SCAN
data_Mg2BeTc2
_symmetry_space_group_name_H-M 'I 4/m m m'
_symmetry_Int_Tables_number 139
_symmetry_space_group_name_Hall '-I 4 2'
_cell_length_a 3.4244
_cell_length_b 3.4244
_cell_length_c 14.9787
_cell_angle_alpha 90.00
_cell_angle_beta 90.00
_cell_angle_gamma 90.00
loop_
_atom_site_label
_atom_site_fract_x
_atom_site_fract_y
_atom_site_fract_z
Mg1 0.0000 0.0000 0.0971
Be1 0.0000 0.0000 0.5000
Tc1 0.0000 0.5000 0.2500
# ΔE_f (meV/atom): 635



[6]
# MgBeTc2, PBEsol geometry, DFT meta-GGA SCAN
data_MgBeTc2
_symmetry_space_group_name_H-M 'F -4 3 m'
_symmetry_Int_Tables_number 216
_symmetry_space_group_name_Hall 'F -4 2 3'
_cell_length_a 5.9533
_cell_length_b 5.9533
_cell_length_c 5.9533
_cell_angle_alpha 90.00
_cell_angle_beta 90.00
_cell_angle_gamma 90.00
loop_
_atom_site_label
_atom_site_fract_x
_atom_site_fract_y
_atom_site_fract_z
Mg1 0.0000 0.0000 0.0000
Be1 0.2500 0.2500 0.2500
Tc1 0.0000 0.0000 0.5000
Tc2 0.2500 0.2500 0.7500
# Offset from the most stable computed form (kJ per mole of atoms): 0.0
# ΔE_f (meV/atom): -63



[7]
# MgBe2Tc, PBEsol geometry, DFT meta-GGA SCAN
data_MgBe2Tc
_symmetry_space_group_name_H-M 'P 4/m m m'
_symmetry_Int_Tables_number 123
_symmetry_space_group_name_Hall '-P 4 2'
_cell_length_a 3.8278
_cell_length_b 3.8278
_cell_length_c 3.1828
_cell_angle_alpha 90.00
_cell_angle_beta 90.00
_cell_angle_gamma 90.00
loop_
_atom_site_label
_atom_site_fract_x
_atom_site_fract_y
_atom_site_fract_z
Mg1 0.0000 0.0000 0.0000
Be1 0.0000 0.5000 0.5000
Tc1 0.5000 0.5000 0.0000
# Offset from the most stable computed form (kJ per mole of atoms): 0.0
# ΔE_f (meV/atom): 14



[8]
# MgBeTc, PBEsol geometry, DFT meta-GGA SCAN
data_MgBeTc
_symmetry_space_group_name_H-M 'F -4 3 m'
_symmetry_Int_Tables_number 216
_symmetry_space_group_name_Hall 'F -4 2 3'
_cell_length_a 5.8020
_cell_length_b 5.8020
_cell_length_c 5.8020
_cell_angle_alpha 90.00
_cell_angle_beta 90.00
_cell_angle_gamma 90.00
loop_
_atom_site_label
_atom_site_fract_x
_atom_site_fract_y
_atom_site_fract_z
Mg1 0.0000 0.0000 0.0000
Be1 0.0000 0.0000 0.5000
Tc1 0.2500 0.2500 0.2500
# Offset from the most stable computed form (kJ per mole of atoms): 0.0
# ΔE_f (meV/atom): 950



[9]
# MgBe2Tc, PBEsol geometry, DFT meta-GGA SCAN
data_MgBe2Tc
_symmetry_space_group_name_H-M 'F -4 3 m'
_symmetry_Int_Tables_number 216
_symmetry_space_group_name_Hall 'F -4 2 3'
_cell_length_a 5.7746
_cell_length_b 5.7746
_cell_length_c 5.7746
_cell_angle_alpha 90.00
_cell_angle_beta 90.00
_cell_angle_gamma 90.00
loop_
_atom_site_label
_atom_site_fract_x
_atom_site_fract_y
_atom_site_fract_z
Mg1 0.0000 0.0000 0.0000
Be1 0.0000 0.0000 0.5000
Be2 0.2500 0.2500 0.7500
Tc1 0.2500 0.2500 0.2500
# Offset from the most stable computed form (kJ per mole of atoms): 33.0
# ΔE_f (meV/atom): 356



[10]
# Mg2BeTc, PBEsol geometry, DFT meta-GGA SCAN
data_Mg2BeTc
_symmetry_space_group_name_H-M 'C m m 2'
_symmetry_Int_Tables_number 35
_cell_length_a 3.3402
_cell_length_b 4.3472
_cell_length_c 8.4834
_cell_angle_alpha 90.00
_cell_angle_beta 90.00
_cell_angle_gamma 90.00
loop_
_symmetry_equiv_pos_as_xyz
'x,y,z'
'-x,-y,z'
'-x,y,z'
'x,-y,z'
'x+1/2,y+1/2,z'
'-x+1/2,-y+1/2,z'
'-x+1/2,y+1/2,z'
'x+1/2,-y+1/2,z'
loop_
_atom_site_label
_atom_site_fract_x
_atom_site_fract_y
_atom_site_fract_z
Mg1 0.0000 0.0000 0.0000
Mg2 0.0000 0.5000 0.3173
Be1 0.0000 0.5000 0.7612
Tc1 0.0000 0.0000 0.5729
# Offset from the most stable computed form (kJ per mole of atoms): 0.0
# ΔE_f (meV/atom): 203



[11]
# MgBe4Te, PBEsol geometry, DFT meta-GGA SCAN
data_MgBe4Te
_symmetry_space_group_name_H-M 'F -4 3 m'
_symmetry_Int_Tables_number 216
_symmetry_space_group_name_Hall 'F -4 2 3'
_cell_length_a 6.8295
_cell_length_b 6.8295
_cell_length_c 6.8295
_cell_angle_alpha 90.00
_cell_angle_beta 90.00
_cell_angle_gamma 90.00
loop_
_atom_site_label
_atom_site_fract_x
_atom_site_fract_y
_atom_site_fract_z
Mg1 0.0000 0.0000 0.0000
Be1 0.1299 0.1299 0.6299
Te1 0.2500 0.2500 0.2500
# E_form (uncorrected) (meV per atom): 423



[12]
# MgBeTl2, PBEsol geometry, DFT meta-GGA SCAN
data_MgBeTl2
_symmetry_space_group_name_H-M 'C m m m'
_symmetry_Int_Tables_number 65
_symmetry_space_group_name_Hall '-C 2 2'
_cell_length_a 4.1917
_cell_length_b 5.2024
_cell_length_c 7.7248
_cell_angle_alpha 90.00
_cell_angle_beta 90.00
_cell_angle_gamma 90.00
loop_
_atom_site_label
_atom_site_fract_x
_atom_site_fract_y
_atom_site_fract_z
Mg1 0.0000 0.0000 0.0000
Be1 0.0000 0.0000 0.5000
Tl1 0.0000 0.5000 0.2831
# ΔE_f (meV/atom): 316



[13]
# Mg2BeW, PBEsol geometry, DFT meta-GGA SCAN
data_Mg2BeW
_symmetry_space_group_name_H-M 'P m m m'
_symmetry_Int_Tables_number 47
_cell_length_a 2.9253
_cell_length_b 4.4919
_cell_length_c 4.6220
_cell_angle_alpha 90.00
_cell_angle_beta 90.00
_cell_angle_gamma 90.00
loop_
_symmetry_equiv_pos_as_xyz
'x,y,z'
'-x,-y,-z'
'-x,-y,z'
'x,y,-z'
'x,-y,-z'
'-x,y,z'
'-x,y,-z'
'x,-y,z'
loop_
_atom_site_label
_atom_site_fract_x
_atom_site_fract_y
_atom_site_fract_z
Mg1 0.0000 0.0000 0.0000
Mg2 0.5000 0.5000 0.0000
Be1 0.0000 0.5000 0.5000
W1 0.5000 0.0000 0.5000
# ΔE_f (meV/atom): 582



[14]
# MgBeW, PBEsol geometry, DFT meta-GGA SCAN
data_MgBeW
_symmetry_space_group_name_H-M 'P 3 m 1'
_symmetry_Int_Tables_number 156
_cell_length_a 2.7840
_cell_length_b 2.7840
_cell_length_c 6.6710
_cell_angle_alpha 90.00
_cell_angle_beta 90.00
_cell_angle_gamma 120.00
loop_
_symmetry_equiv_pos_as_xyz
'x,y,z'
'-y,x-y,z'
'-x+y,-x,z'
'-y,-x,z'
'-x+y,y,z'
'x,x-y,z'
loop_
_atom_site_label
_atom_site_fract_x
_atom_site_fract_y
_atom_site_fract_z
Mg1 0.0000 0.0000 0.0000
Be1 0.3333 0.6667 0.3359
W1 0.6667 0.3333 0.6315
# Offset from the most stable computed form (kJ per mole of atoms): 12.2
# ΔE_f (meV/atom): 503



[15]
# Mg2BeW, PBEsol geometry, DFT meta-GGA SCAN
data_Mg2BeW
_symmetry_space_group_name_H-M 'R 3 m'
_symmetry_Int_Tables_number 160
_symmetry_space_group_name_Hall 'R 3 -2"'
_cell_length_a 2.8578
_cell_length_b 2.8578
_cell_length_c 27.5779
_cell_angle_alpha 90.00
_cell_angle_beta 90.00
_cell_angle_gamma 120.00
loop_
_atom_site_label
_atom_site_fract_x
_atom_site_fract_y
_atom_site_fract_z
Mg1 0.0000 0.0000 0.0000
Mg2 0.0000 0.0000 0.2348
Be1 0.0000 0.0000 0.4896
W1 0.0000 0.0000 0.7533
# ΔE_f (meV/atom): 428



[16]
# Mg2BeW, PBEsol geometry, DFT meta-GGA SCAN
data_Mg2BeW
_symmetry_space_group_name_H-M 'R -3 m'
_symmetry_Int_Tables_number 166
_symmetry_space_group_name_Hall '-R 3 2"'
_cell_length_a 2.8299
_cell_length_b 2.8299
_cell_length_c 27.5872
_cell_angle_alpha 90.00
_cell_angle_beta 90.00
_cell_angle_gamma 120.00
loop_
_atom_site_label
_atom_site_fract_x
_atom_site_fract_y
_atom_site_fract_z
Mg1 0.0000 0.0000 0.2454
Be1 0.0000 0.0000 0.5000
W1 0.0000 0.0000 0.0000
# ΔE_f (meV/atom): 536



[17]
# MgBeW, PBEsol geometry, DFT meta-GGA SCAN
data_MgBeW
_symmetry_space_group_name_H-M 'I 4 m m'
_symmetry_Int_Tables_number 107
_symmetry_space_group_name_Hall 'I 4 -2'
_cell_length_a 2.6843
_cell_length_b 2.6843
_cell_length_c 12.0110
_cell_angle_alpha 90.00
_cell_angle_beta 90.00
_cell_angle_gamma 90.00
loop_
_atom_site_label
_atom_site_fract_x
_atom_site_fract_y
_atom_site_fract_z
Mg1 0.0000 0.0000 0.0000
Be1 0.0000 0.0000 0.3333
W1 0.0000 0.0000 0.6910
# Offset from the most stable computed form (kJ per mole of atoms): 0.0
# ΔE_f (meV/atom): 376



[18]
# YMgBe2, PBEsol geometry, DFT meta-GGA SCAN
data_YMgBe2
_symmetry_space_group_name_H-M 'I 4/m m m'
_symmetry_Int_Tables_number 139
_symmetry_space_group_name_Hall '-I 4 2'
_cell_length_a 3.6999
_cell_length_b 3.6999
_cell_length_c 20.5601
_cell_angle_alpha 90.00
_cell_angle_beta 90.00
_cell_angle_gamma 90.00
loop_
_atom_site_label
_atom_site_fract_x
_atom_site_fract_y
_atom_site_fract_z
Y1 0.0000 0.0000 0.1072
Mg1 0.0000 0.0000 0.2898
Be1 0.0000 0.0000 0.4468
Be2 0.0000 0.5000 0.0000
# ΔE_f (meV/atom): -99



[19]
# YMg3Be, PBEsol geometry, DFT meta-GGA SCAN
data_YMg3Be
_symmetry_space_group_name_H-M 'P m -3 m'
_symmetry_Int_Tables_number 221
_symmetry_space_group_name_Hall '-P 4 2 3'
_cell_length_a 4.7612
_cell_length_b 4.7612
_cell_length_c 4.7612
_cell_angle_alpha 90.00
_cell_angle_beta 90.00
_cell_angle_gamma 90.00
loop_
_atom_site_label
_atom_site_fract_x
_atom_site_fract_y
_atom_site_fract_z
Y1 0.0000 0.0000 0.0000
Mg1 0.0000 0.5000 0.5000
Be1 0.5000 0.5000 0.5000
# ΔE_f (meV/atom): 171



[20]
# YMgBe, PBEsol geometry, DFT meta-GGA SCAN
data_YMgBe
_symmetry_space_group_name_H-M 'I 4 m m'
_symmetry_Int_Tables_number 107
_symmetry_space_group_name_Hall 'I 4 -2'
_cell_length_a 3.2031
_cell_length_b 3.2031
_cell_length_c 11.7957
_cell_angle_alpha 90.00
_cell_angle_beta 90.00
_cell_angle_gamma 90.00
loop_
_atom_site_label
_atom_site_fract_x
_atom_site_fract_y
_atom_site_fract_z
Y1 0.0000 0.0000 0.0000
Mg1 0.0000 0.0000 0.7181
Be1 0.0000 0.0000 0.3485
# Offset from the most stable computed form (kJ per mole of atoms): 0.0
# ΔE_f (meV/atom): 124